Record 1
First-principles (GGA-PBE) data for a relaxed Ta2NiCl crystal, as listed in the Alexandria database.

Properties
For the uncorrected energy, the calculation gives -7.59 eV per atom. As for the uncorrected formation energy: 0.247 eV/atom. For the magnetization, the calculation gives 0.000 μB per cell. As for the crystal system: monoclinic. As for the excess energy over the best structure of this formula in the dataset: 279 meV/atom.

Structure (POSCAR):
```
Ta2NiCl
1.0
-4.396 1.971 0.507
-4.075 0.023 2.620
0.891 3.470 3.065
Ta Ni Cl
2 1 1
Direct
0.990 0.990 0.073
0.761 0.761 0.678
0.253 0.253 0.185
0.497 0.497 0.564
```

Record 2
First-principles (GGA-PBE) data for a relaxed TaNiCl2 crystal, as listed in the Alexandria database.

Properties
For the uncorrected energy, the calculation gives -4.98 eV per atom. As for the uncorrected formation energy: 0.351 eV/atom. For the magnetization, the calculation gives 0.109 μB per cell. As for the crystal system: orthorhombic. As for the excess energy over the best structure of this formula in the dataset: 898 meV/atom.

Structure (POSCAR):
```
TaNiCl2
1.0
2.943 0.000 0.000
0.000 5.316 0.000
0.000 0.000 4.117
Cl Ni Ta
2 1 1
Direct
0.500 0.500 0.000
0.000 0.000 0.000
0.500 0.000 0.500
0.000 0.500 0.500
```

Record 3
First-principles (GGA-PBE) data for a relaxed Ta2NiCl crystal, as listed in the Alexandria database.

Properties
For the uncorrected energy, the calculation gives -7.50 eV per atom. As for the uncorrected formation energy: 0.335 eV/atom. For the magnetization, the calculation gives 0.000 μB per cell. As for the crystal system: cubic. As for the excess energy over the best structure of this formula in the dataset: 367 meV/atom.

Structure (POSCAR):
```
Ta2NiCl
1.0
0.000 3.126 3.126
3.126 0.000 3.126
3.126 3.126 0.000
Ta Cl Ni
2 1 1
Direct
0.250 0.250 0.250
0.750 0.750 0.750
0.000 0.000 0.000
0.500 0.500 0.500
```

Record 4
First-principles (GGA-PBE) data for a relaxed Ta2NiCl crystal, as listed in the Alexandria database.

Properties
For the uncorrected energy, the calculation gives -7.56 eV per atom. As for the uncorrected formation energy: 0.277 eV/atom. For the magnetization, the calculation gives 0.000 μB per cell. As for the crystal system: orthorhombic. As for the excess energy over the best structure of this formula in the dataset: 310 meV/atom.

Structure (POSCAR):
```
Ta2NiCl
1.0
-5.096 0.031 -2.044
-2.504 -4.657 -1.481
2.349 3.066 3.903
Ni Ta Cl
1 2 1
Direct
0.252 0.752 0.500
0.004 0.004 0.000
0.729 0.229 0.500
0.516 0.516 0.000
```

Record 5
First-principles (GGA-PBE) data for a relaxed TaNi2Cl crystal, as listed in the Alexandria database.

Properties
For the uncorrected energy, the calculation gives -6.07 eV per atom. As for the uncorrected formation energy: 0.244 eV/atom. For the magnetization, the calculation gives 0.000 μB per cell. As for the crystal system: tetragonal. As for the excess energy over the best structure of this formula in the dataset: 313 meV/atom.

Structure (POSCAR):
```
TaNi2Cl
1.0
-6.012 2.831 1.186
-0.274 -3.092 5.994
-2.013 1.825 4.650
Ni Cl Ta
4 2 2
Direct
0.375 0.397 0.750
0.603 0.125 0.250
0.875 0.853 0.750
0.147 0.625 0.250
0.500 0.500 0.000
0.250 0.750 0.500
0.000 0.000 0.000
0.750 0.250 0.500
```

Record 6
First-principles (GGA-PBE) data for a relaxed TaNiCl3 crystal, as listed in the Alexandria database.

Properties
For the uncorrected energy, the calculation gives -4.09 eV per atom. As for the uncorrected formation energy: 0.541 eV/atom. For the magnetization, the calculation gives 3.338 μB per cell. As for the crystal system: cubic. As for the excess energy over the best structure of this formula in the dataset: 306 meV/atom.

Structure (POSCAR):
```
TaNiCl3
1.0
-1.023 0.184 4.478
4.458 -0.432 1.036
0.462 4.573 -0.083
Ta Cl Ni
1 3 1
Direct
0.500 0.500 0.500
0.000 0.500 0.000
0.000 0.000 0.500
0.500 0.000 0.000
0.000 0.000 0.000
```

Record 7
First-principles (GGA-PBE) data for a relaxed TaNi2Cl crystal, as listed in the Alexandria database.

Properties
For the uncorrected energy, the calculation gives -5.79 eV per atom. As for the uncorrected formation energy: 0.529 eV/atom. For the magnetization, the calculation gives 0.000 μB per cell. As for the crystal system: tetragonal. As for the excess energy over the best structure of this formula in the dataset: 598 meV/atom.

Structure (POSCAR):
```
TaNi2Cl
1.0
-0.816 -2.373 -4.243
2.129 -4.415 -0.525
-2.739 2.267 3.414
Ni Ta Cl
2 1 1
Direct
0.000 0.000 0.000
0.500 0.500 0.000
0.250 0.750 0.500
0.750 0.250 0.500
```

Record 8
First-principles (GGA-PBE) data for a relaxed Ta2NiCl crystal, as listed in the Alexandria database.

Properties
For the uncorrected energy, the calculation gives -7.69 eV per atom. As for the uncorrected formation energy: 0.147 eV/atom. For the magnetization, the calculation gives 0.000 μB per cell. As for the crystal system: tetragonal. As for the excess energy over the best structure of this formula in the dataset: 179 meV/atom.

Structure (POSCAR):
```
Ta2NiCl
1.0
2.942 0.030 0.000
-0.028 2.942 0.000
0.000 0.000 6.967
Ta Cl Ni
2 1 1
Direct
0.000 0.000 0.509
0.000 0.000 0.991
0.500 0.500 0.250
0.500 0.500 0.750
```

Record 9
First-principles (GGA-PBE) data for a relaxed Ta2NiCl crystal, as listed in the Alexandria database.

Properties
For the uncorrected energy, the calculation gives -7.05 eV per atom. As for the uncorrected formation energy: 0.787 eV/atom. For the magnetization, the calculation gives 0.000 μB per cell. As for the crystal system: tetragonal. As for the excess energy over the best structure of this formula in the dataset: 820 meV/atom.

Structure (POSCAR):
```
Ta2NiCl
1.0
5.332 0.000 0.000
0.000 5.332 0.000
2.666 2.666 5.796
Cl Ni Ta
2 2 4
Direct
0.500 0.500 0.000
0.250 0.750 0.500
0.000 0.000 0.000
0.750 0.250 0.500
0.097 0.625 0.250
0.653 0.125 0.250
0.375 0.347 0.750
0.875 0.903 0.750
```

Record 10
First-principles (GGA-PBE) data for a relaxed Tb7NiCl12 crystal, as listed in the Alexandria database.

Properties
For the uncorrected energy, the calculation gives -4.89 eV per atom. As for the uncorrected formation energy: -1.871 eV/atom. For the magnetization, the calculation gives 0.765 μB per cell. As for the crystal system: trigonal.

Structure (POSCAR):
```
Tb7NiCl12
1.0
8.468 -0.157 -2.560
-3.406 7.755 -2.560
-0.104 -0.157 8.846
Cl Tb Ni
12 7 1
Direct
0.168 0.386 0.472
0.785 0.925 0.317
0.832 0.614 0.528
0.614 0.528 0.832
0.528 0.832 0.614
0.386 0.472 0.168
0.317 0.785 0.925
0.215 0.075 0.683
0.925 0.317 0.785
0.683 0.215 0.075
0.075 0.683 0.215
0.472 0.168 0.386
0.680 0.886 0.972
0.972 0.680 0.886
0.028 0.320 0.114
0.320 0.114 0.028
0.500 0.500 0.500
0.886 0.972 0.680
0.114 0.028 0.320
0.000 0.000 0.000
```

Record 11
First-principles (GGA-PBE) data for a relaxed Tb4NiCl5 crystal, as listed in the Alexandria database.

Properties
For the uncorrected energy, the calculation gives -4.96 eV per atom. As for the uncorrected formation energy: -1.605 eV/atom. For the magnetization, the calculation gives 0.000 μB per cell. As for the crystal system: monoclinic.

Structure (POSCAR):
```
Tb4NiCl5
1.0
-1.065 -1.396 -3.452
2.363 -7.496 2.302
-8.080 1.039 4.246
Tb Cl Ni
4 5 1
Direct
0.000 0.222 0.001
0.000 0.778 0.999
0.349 0.914 0.699
0.651 0.086 0.301
0.823 0.146 0.647
0.500 0.500 0.000
0.177 0.854 0.353
0.833 0.669 0.665
0.167 0.331 0.335
0.500 0.000 0.000
```

Record 12
First-principles (GGA-PBE) data for a relaxed TbNiCl crystal, as listed in the Alexandria database.

Properties
For the uncorrected energy, the calculation gives -5.34 eV per atom. As for the uncorrected formation energy: -1.251 eV/atom. For the magnetization, the calculation gives 0.000 μB per cell. As for the crystal system: monoclinic.

Structure (POSCAR):
```
TbNiCl
1.0
-2.623 -2.947 0.304
2.640 0.605 2.885
-5.905 8.271 3.651
Cl Tb Ni
2 2 2
Direct
0.558 0.280 0.838
0.442 0.720 0.162
0.117 0.559 0.676
0.883 0.441 0.324
0.323 0.161 0.485
0.677 0.839 0.515
```

Record 13
First-principles (GGA-PBE) data for a relaxed Tb3NiCl3 crystal, as listed in the Alexandria database.

Properties
For the uncorrected energy, the calculation gives -5.04 eV per atom. As for the uncorrected formation energy: -1.435 eV/atom. For the magnetization, the calculation gives 0.000 μB per cell. As for the crystal system: cubic.

Structure (POSCAR):
```
Tb3NiCl3
1.0
-1.515 -5.914 -7.613
-3.285 -4.267 8.138
-4.754 8.404 -1.413
Ni Tb Cl
4 12 12
Direct
0.000 0.000 0.250
0.750 0.250 0.250
0.750 0.500 0.000
0.500 0.250 0.500
0.250 0.237 0.263
0.513 0.027 0.263
0.763 0.750 0.237
0.250 0.013 0.487
0.513 0.487 0.750
0.737 0.263 0.750
0.973 0.487 0.237
0.987 0.237 0.473
0.737 0.473 0.487
0.987 0.750 0.013
0.527 0.263 0.013
0.763 0.013 0.027
0.496 0.991 0.746
0.004 0.754 0.509
0.246 0.996 0.991
0.254 0.509 0.504
0.254 0.746 0.250
0.246 0.250 0.754
0.009 0.504 0.754
0.750 0.996 0.504
0.496 0.504 0.250
0.750 0.754 0.746
0.004 0.250 0.996
0.491 0.746 0.996
```